# 1
First-principles (PBE-GGA) data for an optimized crystal structure of NbAl3B, as listed in Alexandria.

Computed properties:
The density of states at the Fermi level comes out at 3.8 states/eV/cell. The calculation puts the energy of formation from the pure elements at 0.44 eV/atom. For the magnetization, the calculation gives 0.000 μB/f.u.

a b c (Å): 4.2094 4.2094 4.2094
angles (deg): 90.00 90.00 90.00
Positions (direct):
Nb1 0.0000 0.0000 0.0000
Al1 0.0000 0.5000 0.5000
Al2 0.5000 0.0000 0.5000
Al3 0.5000 0.5000 0.0000
B1 0.5000 0.5000 0.5000


# 2
First-principles (PBE-GGA) data for an optimized crystal structure of AcLaAsO2, as listed in Alexandria.

Computed properties:
The density of states at the Fermi level comes out at 2.5 states/eV/cell. For the magnetization, the calculation gives 0.295 μB/f.u. The uncorrected formation energy is -2.63 eV/atom.

a b c (Å): 7.4722 7.4722 7.4722
angles (deg): 148.43 148.43 45.26
Positions (direct):
Ac1 0.0000 0.0000 0.0000
La1 0.6868 0.6868 0.0000
As1 0.3439 0.3439 0.0000
O1 0.0989 0.5989 0.5000
O2 0.5989 0.0989 0.5000


# 3
First-principles (PBE-GGA) data for an optimized crystal structure of CeTm2Hf, as listed in Alexandria.

Computed properties:
The density of states at the Fermi level comes out at 4.4 states/eV/cell. The calculation puts the energy of formation from the pure elements at 0.13 eV/atom. For the magnetization, the calculation gives 0.000 μB/f.u.

a b c (Å): 4.7323 4.7323 4.8841
angles (deg): 90.00 90.00 90.00
Positions (direct):
Ce1 0.0000 0.0000 0.0000
Tm1 0.0000 0.5000 0.5000
Tm2 0.5000 0.0000 0.5000
Hf1 0.5000 0.5000 0.0000


# 4
First-principles (PBE-GGA) data for an optimized crystal structure of Nb2CrHRu, as listed in Alexandria.

Computed properties:
The calculation puts the total energy at -0.623 Ry per atom. The density of states at the Fermi level comes out at 4.5 states/eV/cell. For the magnetization, the calculation gives 0.023 μB/f.u.

a b c (Å): 4.3620 4.3620 3.4540
angles (deg): 90.00 90.00 90.00
Positions (direct):
Nb1 0.0000 0.5000 0.0000
Nb2 0.5000 0.0000 0.0000
Cr1 0.0000 0.0000 0.5000
H1 0.5000 0.5000 0.0000
Ru1 0.5000 0.5000 0.5000


# 5
First-principles (PBE-GGA) data for an optimized crystal structure of NaMoSe3, as listed in Alexandria.

Computed properties:
The density of states at the Fermi level comes out at 4.0 states/eV/cell. For the magnetization, the calculation gives 0.000 μB/f.u. The uncorrected formation energy is -0.26 eV/atom.

a b c (Å): 5.0116 5.0116 5.0116
angles (deg): 90.00 90.00 90.00
Positions (direct):
Na1 0.0000 0.0000 0.0000
Mo1 0.5000 0.5000 0.5000
Se1 0.0000 0.5000 0.5000
Se2 0.5000 0.0000 0.5000
Se3 0.5000 0.5000 0.0000


# 6
First-principles (PBE-GGA) data for an optimized crystal structure of Sm4In2P, as listed in Alexandria.

Computed properties:
The density of states at the Fermi level comes out at 7.6 states/eV/cell. The calculation puts the energy of formation from the pure elements at -0.70 eV/atom. For the magnetization, the calculation gives 0.000 μB/f.u.

a b c (Å): 6.6976 6.6976 9.1624
angles (deg): 120.75 120.75 36.27
Positions (direct):
Sm1 0.0902 0.0902 0.3540
Sm2 0.3347 0.3347 0.9330
Sm3 0.6653 0.6653 0.0670
Sm4 0.9098 0.9098 0.6460
In1 0.3720 0.3720 0.3368
In2 0.6280 0.6280 0.6632
P1 0.0000 0.0000 0.0000


# 7
First-principles (PBE-GGA) data for an optimized crystal structure of Sr2AcGe3Au12, as listed in Alexandria.

Computed properties:
The density of states at the Fermi level comes out at 3.2 states/eV/cell. The calculation puts the energy of formation from the pure elements at -0.17 eV/atom. For the magnetization, the calculation gives 0.000 μB/f.u.

a b c (Å): 8.4310 8.4310 8.4310
angles (deg): 65.71 65.71 65.71
Positions (direct):
Sr1 0.0956 0.0956 0.0956
Sr2 0.9044 0.9044 0.9044
Ac1 0.5000 0.5000 0.5000
Ge1 0.0000 0.5000 0.5000
Ge2 0.5000 0.0000 0.5000
Ge3 0.5000 0.5000 0.0000
Au1 0.0856 0.6523 0.6523
Au2 0.1825 0.1825 0.6514
Au3 0.1825 0.6514 0.1825
Au4 0.3477 0.3477 0.9144
Au5 0.3477 0.9144 0.3477
Au6 0.3486 0.8175 0.8175
Au7 0.6514 0.1825 0.1825
Au8 0.6523 0.0856 0.6523
Au9 0.6523 0.6523 0.0856
Au10 0.8175 0.3486 0.8175
Au11 0.8175 0.8175 0.3486
Au12 0.9144 0.3477 0.3477


# 8
First-principles (PBE-GGA) data for an optimized crystal structure of PrGeSe3, as listed in Alexandria.

Computed properties:
The density of states at the Fermi level comes out at 2.5 states/eV/cell. For the magnetization, the calculation gives 0.000 μB/f.u. The uncorrected formation energy is -0.98 eV/atom.

a b c (Å): 4.5576 11.8535 11.8535
angles (deg): 147.44 90.00 90.00
Positions (direct):
Pr1 0.2500 0.1704 0.8296
Pr2 0.7500 0.8296 0.1704
Ge1 0.2500 0.3099 0.5364
Ge2 0.7500 0.5364 0.3099
Se1 0.2500 0.0567 0.4864
Se2 0.2500 0.3906 0.2388
Se3 0.2500 0.6741 0.9057
Se4 0.7500 0.2388 0.3906
Se5 0.7500 0.4864 0.0567
Se6 0.7500 0.9057 0.6741


# 9
First-principles (PBE-GGA) data for an optimized crystal structure of ZnGePtRh, as listed in Alexandria.

Computed properties:
The density of states at the Fermi level comes out at 4.3 states/eV/cell. The calculation puts the energy of formation from the pure elements at -0.38 eV/atom. For the magnetization, the calculation gives 0.007 μB/f.u.

a b c (Å): 4.3561 4.3561 4.3561
angles (deg): 60.00 60.00 60.00
Positions (direct):
Zn1 0.0000 0.0000 0.0000
Ge1 0.5000 0.5000 0.5000
Pt1 0.7500 0.7500 0.7500
Rh1 0.2500 0.2500 0.2500


# 10
First-principles (PBE-GGA) data for an optimized crystal structure of LiPaPd2, as listed in Alexandria.

Computed properties:
The density of states at the Fermi level comes out at 4.9 states/eV/cell. The calculation puts the energy of formation from the pure elements at -0.40 eV/atom. For the magnetization, the calculation gives 0.308 μB/f.u.

a b c (Å): 4.6993 4.6993 3.3797
angles (deg): 90.00 90.00 90.00
Positions (direct):
Li1 0.0000 0.0000 0.0000
Pa1 0.5000 0.5000 0.0000
Pd1 0.0000 0.5000 0.5000
Pd2 0.5000 0.0000 0.5000


# 11
First-principles (PBE-GGA) data for an optimized crystal structure of PrSm2Au3, as listed in Alexandria.

Computed properties:
The density of states at the Fermi level comes out at 8.7 states/eV/cell. The calculation puts the energy of formation from the pure elements at -0.78 eV/atom. For the magnetization, the calculation gives 0.000 μB/f.u.

a b c (Å): 8.3036 8.3036 7.3513
angles (deg): 90.02 90.02 143.19
Positions (direct):
Pr1 0.1663 0.8337 0.0000
Pr2 0.8337 0.1663 0.0000
Sm1 0.1673 0.8327 0.5000
Sm2 0.5000 0.5000 0.0000
Sm3 0.5000 0.5000 0.5000
Sm4 0.8327 0.1673 0.5000
Au1 0.9999 0.9999 0.2555
Au2 0.0001 0.0001 0.7445
Au3 0.3360 0.6640 0.2590
Au4 0.3360 0.6640 0.7410
Au5 0.6640 0.3360 0.2590
Au6 0.6640 0.3360 0.7410


# 12
First-principles (PBE-GGA) data for an optimized crystal structure of La3YIn, as listed in Alexandria.

Computed properties:
The density of states at the Fermi level comes out at 6.2 states/eV/cell. The calculation puts the energy of formation from the pure elements at 0.54 eV/atom. For the magnetization, the calculation gives 0.000 μB/f.u.

a b c (Å): 5.7945 5.7945 5.7945
angles (deg): 90.00 90.00 90.00
Positions (direct):
La1 0.0000 0.0000 0.5000
La2 0.0000 0.5000 0.0000
La3 0.5000 0.0000 0.0000
Y1 0.0000 0.0000 0.0000
In1 0.5000 0.5000 0.5000


# 13
First-principles (PBE-GGA) data for an optimized crystal structure of Ac2Pd2Au3, as listed in Alexandria.

Computed properties:
The density of states at the Fermi level comes out at 1.1 states/eV/cell. The calculation puts the energy of formation from the pure elements at -0.67 eV/atom. For the magnetization, the calculation gives 0.000 μB/f.u.

a b c (Å): 10.4317 10.4317 4.0037
angles (deg): 90.00 90.00 156.92
Positions (direct):
Ac1 0.1519 0.8481 0.0000
Ac2 0.8481 0.1519 0.0000
Pd1 0.2946 0.7054 0.5000
Pd2 0.7054 0.2946 0.5000
Au1 0.0000 0.0000 0.0000
Au2 0.4328 0.5672 0.5000
Au3 0.5672 0.4328 0.5000


# 14
First-principles (PBE-GGA) data for an optimized crystal structure of Dy5Er4Th4, as listed in Alexandria.

Computed properties:
The density of states at the Fermi level comes out at 18.5 states/eV/cell. The calculation puts the energy of formation from the pure elements at 0.03 eV/atom. For the magnetization, the calculation gives 0.000 μB/f.u.

a b c (Å): 9.3796 9.3796 9.3796
angles (deg): 94.12 94.12 148.91
Positions (direct):
Dy1 0.0000 0.0000 0.0000
Dy2 0.3057 0.4613 0.7670
Dy3 0.4613 0.6943 0.1556
Dy4 0.5387 0.3057 0.8444
Dy5 0.6943 0.5387 0.2330
Er1 0.1532 0.2328 0.3860
Er2 0.2328 0.8468 0.0796
Er3 0.7672 0.1532 0.9204
Er4 0.8468 0.7672 0.6140
Th1 0.0752 0.6146 0.6898
Th2 0.3854 0.0752 0.4606
Th3 0.6146 0.9248 0.5394
Th4 0.9248 0.3854 0.3102


# 15
First-principles (PBE-GGA) data for an optimized crystal structure of La2Ag, as listed in Alexandria.

Computed properties:
The density of states at the Fermi level comes out at 2.8 states/eV/cell. The calculation puts the energy of formation from the pure elements at -0.07 eV/atom. For the magnetization, the calculation gives 0.000 μB/f.u.

a b c (Å): 5.1250 5.1250 3.8676
angles (deg): 90.00 90.00 120.00
Positions (direct):
La1 0.3333 0.6667 0.1858
La2 0.6667 0.3333 0.8142
Ag1 0.0000 0.0000 0.5000


# 16
First-principles (PBE-GGA) data for an optimized crystal structure of Tc2RuPt, as listed in Alexandria.

Computed properties:
The density of states at the Fermi level comes out at 4.2 states/eV/cell. The calculation puts the energy of formation from the pure elements at -0.06 eV/atom. For the magnetization, the calculation gives 0.000 μB/f.u.

a b c (Å): 4.7190 4.7190 4.7190
angles (deg): 131.16 131.16 71.55
Positions (direct):
Tc1 0.0000 0.0000 0.0000
Tc2 0.7500 0.2500 0.5000
Ru1 0.2500 0.7500 0.5000
Pt1 0.5000 0.5000 0.0000


# 17
First-principles (PBE-GGA) data for an optimized crystal structure of LiZr4N5, as listed in Alexandria.

Computed properties:
The density of states at the Fermi level comes out at 1.5 states/eV/cell. For the magnetization, the calculation gives 0.000 μB/f.u. The uncorrected formation energy is -1.56 eV/atom.

a b c (Å): 5.5981 5.5981 5.5981
angles (deg): 99.51 99.51 132.03
Positions (direct):
Li1 0.0000 0.0000 0.0000
Zr1 0.2040 0.6051 0.8091
Zr2 0.3949 0.2040 0.5989
Zr3 0.6051 0.7960 0.4011
Zr4 0.7960 0.3949 0.1909
N1 0.1002 0.3056 0.4059
N2 0.3056 0.8998 0.2054
N3 0.5000 0.5000 0.0000
N4 0.6944 0.1002 0.7946
N5 0.8998 0.6944 0.5941


# 18
First-principles (PBE-GGA) data for an optimized crystal structure of HfNi2HgMo, as listed in Alexandria.

Computed properties:
The density of states at the Fermi level comes out at 5.2 states/eV/cell. The calculation puts the energy of formation from the pure elements at 1.11 eV/atom. For the magnetization, the calculation gives 0.000 μB/f.u.

a b c (Å): 4.4394 4.4394 5.1211
angles (deg): 90.00 90.00 90.00
Positions (direct):
Hf1 0.0000 0.0000 0.0000
Ni1 0.0000 0.5000 0.5000
Ni2 0.5000 0.0000 0.5000
Hg1 0.5000 0.5000 0.0000
Mo1 0.5000 0.5000 0.5000


# 19
First-principles (PBE-GGA) data for an optimized crystal structure of ScAl2Au2, as listed in Alexandria.

Computed properties:
The density of states at the Fermi level comes out at 3.3 states/eV/cell. The calculation puts the energy of formation from the pure elements at -0.53 eV/atom. For the magnetization, the calculation gives 0.000 μB/f.u.

a b c (Å): 4.4910 4.4910 5.6354
angles (deg): 90.00 90.00 120.00
Positions (direct):
Sc1 0.0000 0.0000 0.0000
Al1 0.3333 0.6667 0.6745
Al2 0.6667 0.3333 0.3255
Au1 0.3333 0.6667 0.2231
Au2 0.6667 0.3333 0.7769


# 20
First-principles (PBE-GGA) data for an optimized crystal structure of Ac2MnNi3As4, as listed in Alexandria.

Computed properties:
The density of states at the Fermi level comes out at 4.3 states/eV/cell. The calculation puts the energy of formation from the pure elements at -0.76 eV/atom. For the magnetization, the calculation gives 3.851 μB/f.u.

a b c (Å): 4.3539 4.3539 9.8876
angles (deg): 90.00 90.00 90.00
Positions (direct):
Ac1 0.0000 0.5000 0.2438
Ac2 0.5000 0.0000 0.7562
Mn1 0.0000 0.0000 0.5000
Ni1 0.0000 0.5000 0.8896
Ni2 0.5000 0.0000 0.1104
Ni3 0.5000 0.5000 0.5000
As1 0.0000 0.0000 0.0000
As2 0.0000 0.5000 0.6337
As3 0.5000 0.0000 0.3663
As4 0.5000 0.5000 0.0000